Record 1
A relaxed LiPPdO2 crystal. Source: Alexandria via LeMat-Bulk, functional PBE-GGA.

Output
- Crystal system: tetragonal
- D(E_F): 3.1 states/eV per cell
- Energy relative to the elements, uncorrected: 1.473 eV/f.u.

Unit cell a=3.580 b=3.580 c=4.775 alpha=90.00 beta=90.00 gamma=90.00
Fractional positions:
P 0.000 0.000 0.500
Li 0.000 0.000 0.000
Pd 0.500 0.500 0.500
O 0.500 0.000 0.000
O 0.000 0.500 0.000

***

Record 2
A relaxed Li2Ca2NdSb2 crystal. Source: Alexandria via LeMat-Bulk, functional PBE-GGA.

Output
- Crystal system: trigonal
- D(E_F): 3.2 states/eV per cell
- Energy relative to the elements, uncorrected: -4.756 eV/f.u.

Unit cell a=4.749 b=4.749 c=9.764 alpha=75.93 beta=75.93 gamma=60.00
Fractional positions:
Li 0.410 0.410 0.771
Li 0.590 0.590 0.229
Ca 0.869 0.869 0.393
Sb 0.736 0.736 0.791
Nd 0.000 0.000 0.000
Sb 0.264 0.264 0.209
Ca 0.131 0.131 0.607

***

Record 3
A relaxed Pm3Tm5In2 crystal. Source: Alexandria via LeMat-Bulk, functional PBE-GGA.

Output
- Crystal system: orthorhombic
- D(E_F): 26.7 states/eV per cell
- E_form: 52 kJ/mol of formula units

Unit cell a=6.354 b=10.552 c=10.552 alpha=95.14 beta=72.48 gamma=72.48
Fractional positions:
Tm 0.996 0.254 0.254
Tm 0.250 0.500 0.500
Tm 0.504 0.746 0.746
Pm 0.384 0.353 0.879
Tm 0.004 0.746 0.746
Pm 0.250 0.000 0.000
In 0.861 0.287 0.992
Tm 0.377 0.785 0.460
In 0.361 0.992 0.287
In 0.639 0.008 0.713
Tm 0.123 0.540 0.215
Tm 0.877 0.460 0.785
Pm 0.884 0.879 0.353
Tm 0.496 0.254 0.254
Pm 0.750 0.000 0.000
Pm 0.116 0.121 0.647
Tm 0.623 0.215 0.540
In 0.139 0.713 0.008
Tm 0.750 0.500 0.500
Pm 0.616 0.647 0.121

***

Record 4
A relaxed Mg6ZnHg crystal. Source: Alexandria via LeMat-Bulk, functional PBE-GGA.

Output
- Crystal system: tetragonal
- D(E_F): 4.9 states/eV per cell
- E_form: -60 kJ/mol of formula units

Unit cell a=4.366 b=4.366 c=8.822 alpha=90.00 beta=90.00 gamma=90.00
Fractional positions:
Mg 0.000 0.500 0.256
Mg 0.500 0.500 0.000
Mg 0.500 0.000 0.744
Mg 0.500 0.000 0.256
Mg 0.000 0.500 0.744
Hg 0.000 0.000 0.000
Zn 0.000 0.000 0.500
Mg 0.500 0.500 0.500